AgSnB | PBE-GGA | relaxed

Values from the calculation:
Formation enthalpy at 0 K: 1.2 eV/f.u.
Space-group type: P-1, No. 2
Calculated volume: 17.8 Å³ per atom
Density of states at the Fermi level: 0.50 states/eV/f.u.

```
AgSnB
1.0
3.8336 0.0000 0.0000
-1.9087 4.8822 0.0000
-0.0131 -1.9007 5.6930
Ag Sn B
2 2 2
Cartesian
0.0012 0.4974 2.2898
1.9107 2.4840 3.4032
0.0086 3.0906 1.1249
1.9032 -0.1091 4.5681
-0.0181 -1.0992 5.5035
1.9300 4.0807 0.1895
```